(1)
# TbPu2P3 | Alexandria via LeMat-Bulk | PBE-GGA | relaxed
data_TbPu2P3
_chemical_formula_sum 'Tb1 Pu2 P3'
_cell_length_a 6.9271
_cell_length_b 6.9271
_cell_length_c 6.9271
_cell_angle_alpha 146.38
_cell_angle_beta 131.81
_cell_angle_gamma 60.04
_symmetry_space_group_name_H-M 'P 1'
_symmetry_Int_Tables_number 1
_symmetry_space_group_name_Hall 'P 1'
loop_
_atom_site_label
_atom_site_type_symbol
_atom_site_fract_x
_atom_site_fract_y
_atom_site_fract_z
Tb1 Tb 0.0000 0.0000 0.0000
Pu1 Pu 0.3347 0.3347 0.0000
Pu2 Pu 0.6653 0.6653 0.0000
P1 P 0.1711 0.6711 0.5000
P2 P 0.5000 0.0000 0.5000
P3 P 0.8289 0.3289 0.5000
# Density ... 9038 kg/m³
# E ... -9.5613 eV/atom



(2)
# TbPuTeP | Alexandria via LeMat-Bulk | PBE-GGA | relaxed
data_TbPuTeP
_chemical_formula_sum 'Tb1 Pu1 Te1 P1'
_cell_length_a 7.4548
_cell_length_b 7.4548
_cell_length_c 7.4548
_cell_angle_alpha 32.42
_cell_angle_beta 32.42
_cell_angle_gamma 32.42
_symmetry_space_group_name_H-M 'P 1'
_symmetry_Int_Tables_number 1
_symmetry_space_group_name_Hall 'P 1'
loop_
_atom_site_label
_atom_site_type_symbol
_atom_site_fract_x
_atom_site_fract_y
_atom_site_fract_z
Tb1 Tb 0.0000 0.0000 0.0000
Pu1 Pu 0.5233 0.5233 0.5233
Te1 Te 0.7613 0.7613 0.7613
P1 P 0.2620 0.2620 0.2620
# Density ... 8809 kg/m³
# Energy relative to the elements, uncorrected ... -5.423 eV per formula unit



(3)
# TbPuTh2P4 | Alexandria via LeMat-Bulk | PBE-GGA | relaxed
data_TbPuTh2P4
_chemical_formula_sum 'Tb1 Pu1 Th2 P4'
_cell_length_a 7.0478
_cell_length_b 4.1041
_cell_length_c 7.0873
_cell_angle_alpha 90.00
_cell_angle_beta 109.71
_cell_angle_gamma 90.00
_symmetry_space_group_name_H-M 'P 1'
_symmetry_Int_Tables_number 1
_symmetry_space_group_name_Hall 'P 1'
loop_
_atom_site_label
_atom_site_type_symbol
_atom_site_fract_x
_atom_site_fract_y
_atom_site_fract_z
Tb1 Tb 0.0000 0.0000 0.0000
Pu1 Pu 0.0000 0.5000 0.5000
Th1 Th 0.5000 0.0000 0.5000
Th2 Th 0.5000 0.5000 0.0000
P1 P 0.2421 0.0000 0.7461
P2 P 0.2442 0.5000 0.2485
P3 P 0.7558 0.5000 0.7515
P4 P 0.7579 0.0000 0.2539
# Density ... 8526 kg/m³
# E ... -8.4137 eV/atom



(4)
# TbTmPu2P4 | Alexandria via LeMat-Bulk | PBE-GGA | relaxed
data_TbTmPu2P4
_chemical_formula_sum 'Tb1 Tm1 Pu2 P4'
_cell_length_a 6.8652
_cell_length_b 4.0014
_cell_length_c 6.9294
_cell_angle_alpha 90.00
_cell_angle_beta 109.67
_cell_angle_gamma 90.00
_symmetry_space_group_name_H-M 'P 1'
_symmetry_Int_Tables_number 1
_symmetry_space_group_name_Hall 'P 1'
loop_
_atom_site_label
_atom_site_type_symbol
_atom_site_fract_x
_atom_site_fract_y
_atom_site_fract_z
Tb1 Tb 0.0000 0.0000 0.0000
Tm1 Tm 0.0000 0.5000 0.5000
Pu1 Pu 0.5000 0.0000 0.5000
Pu2 Pu 0.5000 0.5000 0.0000
P1 P 0.2533 0.0000 0.7486
P2 P 0.2553 0.5000 0.2543
P3 P 0.7447 0.5000 0.7457
P4 P 0.7467 0.0000 0.2514
# Density ... 8706 kg/m³
# E ... -8.8058 eV/atom



(5)
# Tb2PuUP4 | Alexandria via LeMat-Bulk | PBE-GGA | relaxed
data_Tb2PuUP4
_chemical_formula_sum 'Tb2 Pu1 U1 P4'
_cell_length_a 6.8994
_cell_length_b 3.9787
_cell_length_c 6.9217
_cell_angle_alpha 90.00
_cell_angle_beta 109.42
_cell_angle_gamma 90.00
_symmetry_space_group_name_H-M 'P 1'
_symmetry_Int_Tables_number 1
_symmetry_space_group_name_Hall 'P 1'
loop_
_atom_site_label
_atom_site_type_symbol
_atom_site_fract_x
_atom_site_fract_y
_atom_site_fract_z
Tb1 Tb 0.0000 0.0000 0.0000
Tb2 Tb 0.0000 0.5000 0.5000
Pu1 Pu 0.5000 0.0000 0.5000
U1 U 0.5000 0.5000 0.0000
P1 P 0.2573 0.0000 0.7564
P2 P 0.2581 0.5000 0.2486
P3 P 0.7419 0.5000 0.7514
P4 P 0.7427 0.0000 0.2436
# Density ... 8560 kg/m³
# E ... -8.3898 eV/atom



(6)
# Tb2Pu3UP6 | Alexandria via LeMat-Bulk | PBE-GGA | relaxed
data_Tb2Pu3UP6
_chemical_formula_sum 'Tb2 Pu3 U1 P6'
_cell_length_a 8.9072
_cell_length_b 8.9072
_cell_length_c 7.9903
_cell_angle_alpha 102.40
_cell_angle_beta 102.40
_cell_angle_gamma 25.94
_symmetry_space_group_name_H-M 'P 1'
_symmetry_Int_Tables_number 1
_symmetry_space_group_name_Hall 'P 1'
loop_
_atom_site_label
_atom_site_type_symbol
_atom_site_fract_x
_atom_site_fract_y
_atom_site_fract_z
Tb1 Tb 0.1673 0.1673 0.3364
Tb2 Tb 0.8327 0.8327 0.6636
Pu1 Pu 0.1675 0.1675 0.8345
Pu2 Pu 0.5000 0.5000 0.5000
Pu3 Pu 0.8325 0.8325 0.1655
U1 U 0.5000 0.5000 0.0000
P1 P 0.0010 0.0010 0.7550
P2 P 0.3347 0.3347 0.4114
P3 P 0.3353 0.3353 0.9200
P4 P 0.6647 0.6647 0.0800
P5 P 0.6653 0.6653 0.5886
P6 P 0.9990 0.9990 0.2450
# Density ... 9048 kg/m³
# E ... -9.2821 eV/atom



(7)
# TbPu2U3P6 | Alexandria via LeMat-Bulk | PBE-GGA | relaxed
data_TbPu2U3P6
_chemical_formula_sum 'Tb1 Pu2 U3 P6'
_cell_length_a 6.8472
_cell_length_b 6.8472
_cell_length_c 6.9572
_cell_angle_alpha 99.44
_cell_angle_beta 99.44
_cell_angle_gamma 120.02
_symmetry_space_group_name_H-M 'P 1'
_symmetry_Int_Tables_number 1
_symmetry_space_group_name_Hall 'P 1'
loop_
_atom_site_label
_atom_site_type_symbol
_atom_site_fract_x
_atom_site_fract_y
_atom_site_fract_z
Tb1 Tb 0.0000 0.0000 0.0000
Pu1 Pu 0.3332 0.6667 0.0000
Pu2 Pu 0.6667 0.3332 0.0000
U1 U 0.1656 0.8344 0.5000
U2 U 0.5000 0.5000 0.5000
U3 U 0.8344 0.1656 0.5000
P1 P 0.0852 0.4210 0.2556
P2 P 0.2508 0.2508 0.7448
P3 P 0.4210 0.0852 0.2556
P4 P 0.5790 0.9148 0.7444
P5 P 0.7492 0.7492 0.2552
P6 P 0.9148 0.5790 0.7444
# Density ... 9627 kg/m³
# E ... -9.4422 eV/atom



(8)
# Tb2PuU3P6 | Alexandria via LeMat-Bulk | PBE-GGA | relaxed
data_Tb2PuU3P6
_chemical_formula_sum 'Tb2 Pu1 U3 P6'
_cell_length_a 6.8521
_cell_length_b 6.8521
_cell_length_c 6.9130
_cell_angle_alpha 99.51
_cell_angle_beta 99.51
_cell_angle_gamma 120.00
_symmetry_space_group_name_H-M 'P 1'
_symmetry_Int_Tables_number 1
_symmetry_space_group_name_Hall 'P 1'
loop_
_atom_site_label
_atom_site_type_symbol
_atom_site_fract_x
_atom_site_fract_y
_atom_site_fract_z
Tb1 Tb 0.1663 0.8337 0.0000
Tb2 Tb 0.8337 0.1663 0.0000
Pu1 Pu 0.5000 0.5000 0.0000
U1 U 0.0000 0.0000 0.5000
U2 U 0.3320 0.6680 0.5000
U3 U 0.6680 0.3320 0.5000
P1 P 0.0834 0.4142 0.7431
P2 P 0.2539 0.2539 0.2586
P3 P 0.4142 0.0834 0.7431
P4 P 0.5858 0.9166 0.2569
P5 P 0.7461 0.7461 0.7414
P6 P 0.9166 0.5858 0.2569
# Density ... 9150 kg/m³
# E ... -8.6863 eV/atom



(9)
# TbY2PuP4 | Alexandria via LeMat-Bulk | PBE-GGA | relaxed
data_TbY2PuP4
_chemical_formula_sum 'Tb1 Y2 Pu1 P4'
_cell_length_a 6.9349
_cell_length_b 4.0174
_cell_length_c 6.9375
_cell_angle_alpha 90.00
_cell_angle_beta 109.50
_cell_angle_gamma 90.00
_symmetry_space_group_name_H-M 'P 1'
_symmetry_Int_Tables_number 1
_symmetry_space_group_name_Hall 'P 1'
loop_
_atom_site_label
_atom_site_type_symbol
_atom_site_fract_x
_atom_site_fract_y
_atom_site_fract_z
Tb1 Tb 0.0000 0.0000 0.0000
Y1 Y 0.5000 0.0000 0.5000
Y2 Y 0.5000 0.5000 0.0000
Pu1 Pu 0.0000 0.5000 0.5000
P1 P 0.2463 0.0000 0.7459
P2 P 0.2486 0.5000 0.2523
P3 P 0.7514 0.5000 0.7477
P4 P 0.7537 0.0000 0.2541
# Density ... 6422 kg/m³
# E ... -8.1881 eV/atom



(10)
# Tb2PuZrP4 | Alexandria via LeMat-Bulk | PBE-GGA | relaxed
data_Tb2PuZrP4
_chemical_formula_sum 'Tb2 Pu1 Zr1 P4'
_cell_length_a 6.8025
_cell_length_b 3.9383
_cell_length_c 6.8166
_cell_angle_alpha 90.00
_cell_angle_beta 109.28
_cell_angle_gamma 90.00
_symmetry_space_group_name_H-M 'P 1'
_symmetry_Int_Tables_number 1
_symmetry_space_group_name_Hall 'P 1'
loop_
_atom_site_label
_atom_site_type_symbol
_atom_site_fract_x
_atom_site_fract_y
_atom_site_fract_z
Tb1 Tb 0.0000 0.0000 0.0000
Tb2 Tb 0.5000 0.5000 0.0000
Pu1 Pu 0.0000 0.5000 0.5000
Zr1 Zr 0.5000 0.0000 0.5000
P1 P 0.2527 0.0000 0.7396
P2 P 0.2598 0.5000 0.2632
P3 P 0.7402 0.5000 0.7368
P4 P 0.7473 0.0000 0.2604
# Density ... 7485 kg/m³
# E ... -8.1652 eV/atom



(11)
# TbPuZr2P4 | Alexandria via LeMat-Bulk | PBE-GGA | relaxed
data_TbPuZr2P4
_chemical_formula_sum 'Tb1 Pu1 Zr2 P4'
_cell_length_a 6.6681
_cell_length_b 3.8579
_cell_length_c 6.7296
_cell_angle_alpha 90.00
_cell_angle_beta 109.28
_cell_angle_gamma 90.00
_symmetry_space_group_name_H-M 'P 1'
_symmetry_Int_Tables_number 1
_symmetry_space_group_name_Hall 'P 1'
loop_
_atom_site_label
_atom_site_type_symbol
_atom_site_fract_x
_atom_site_fract_y
_atom_site_fract_z
Tb1 Tb 0.0000 0.0000 0.0000
Pu1 Pu 0.5000 0.5000 0.0000
Zr1 Zr 0.0000 0.5000 0.5000
Zr2 Zr 0.5000 0.0000 0.5000
P1 P 0.2475 0.0000 0.7370
P2 P 0.2565 0.5000 0.2645
P3 P 0.7435 0.5000 0.7355
P4 P 0.7525 0.0000 0.2630
# Density ... 7207 kg/m³
# E ... -8.6204 eV/atom



(12)
# PuTc6P4 | Alexandria via LeMat-Bulk | PBE-GGA | relaxed
data_PuTc6P4
_chemical_formula_sum 'Pu1 Tc6 P4'
_cell_length_a 7.5602
_cell_length_b 7.5602
_cell_length_c 3.2350
_cell_angle_alpha 90.00
_cell_angle_beta 90.00
_cell_angle_gamma 120.00
_symmetry_space_group_name_H-M 'P 1'
_symmetry_Int_Tables_number 1
_symmetry_space_group_name_Hall 'P 1'
loop_
_atom_site_label
_atom_site_type_symbol
_atom_site_fract_x
_atom_site_fract_y
_atom_site_fract_z
Pu1 Pu 0.0000 0.0000 0.0000
Tc1 Tc 0.1994 0.3989 0.5000
Tc2 Tc 0.1994 0.8006 0.5000
Tc3 Tc 0.5411 0.0822 0.0000
Tc4 Tc 0.5411 0.4589 0.0000
Tc5 Tc 0.6011 0.8006 0.5000
Tc6 Tc 0.9178 0.4589 0.0000
P1 P 0.3333 0.6667 0.0000
P2 P 0.3652 0.1826 0.5000
P3 P 0.8174 0.1826 0.5000
P4 P 0.8174 0.6348 0.5000
# Density ... 9912 kg/m³
# E ... -9.4573 eV/atom